Below is Hf5In5Ag after structural relaxation, with properties calculated at the PBE level.

Cell lengths 5.226, 8.573, 6.070 Å; angles 87.66, 90.00, 107.75 degrees
Atoms (fractional coordinates):
Hf: 0.318 0.635 0.962
Hf: 0.682 0.365 0.038
Hf: 0.406 0.813 0.455
Hf: 0.000 0.000 0.500
Hf: 0.594 0.187 0.545
Ag: 0.000 0.000 0.000
In: 0.500 0.000 0.000
In: 0.828 0.656 0.712
In: 0.172 0.344 0.288
In: 0.845 0.689 0.228
In: 0.155 0.311 0.772

D(E_F)	7.86	states/eV/cell
formation energy from the elements	176.8	meV per atom
calculated volume	258.8	Å³/cell
total magnetic moment	0.0	μB/f.u.